Arrangement 1

Crystalline SrTl2C2 at its relaxed geometry, computed with PBE.

## Properties
N(E_F) ... 3.647 states/eV/cell
Theoretical density ... 6.59 g/cm3

abc: 8.303 8.303 3.807
angles: 90.00 90.00 90.00
Space group P4/mbm (No. 127)
One atom of each set of equivalent atoms:
Sr1 0.000 0.000 0.000 [2 per cell]
Tl1 0.126 0.374 0.000 [4 per cell]
C1 0.217 0.283 0.500 [4 per cell]


Arrangement 2

Crystalline SrTl2C2 at its relaxed geometry, computed with PBE.

## Properties
N(E_F) ... 4.078 states/eV/cell
Theoretical density ... 8.73 g/cm3

abc: 4.497 4.497 9.788
angles: 90.00 90.00 90.00
Space group I4/mmm (No. 139)
One atom of each set of equivalent atoms:
Sr1 0.000 0.000 0.000 [2 per cell]
Tl1 0.000 0.000 0.347 [4 per cell]
C1 0.000 0.500 0.250 [4 per cell]


List of relative energies, unit eV/atom: arrangement 1 0.416; arrangement 2 0.000


Arrangement 1

Crystalline SrV3C at its relaxed geometry, computed with PBE.

## Properties
N(E_F) ... 8.999 states/eV/cell
Theoretical density ... 4.60 g/cm3

abc: 4.499 4.499 4.499
angles: 90.00 90.00 90.00
Space group Pm-3m (No. 221)
One atom of each set of equivalent atoms:
Sr1 0.000 0.000 0.000 [1 per cell]
V1 0.000 0.000 0.500 [3 per cell]
C1 0.500 0.500 0.500 [1 per cell]


Arrangement 2

Crystalline SrV3C at its relaxed geometry, computed with PBE.

## Properties
N(E_F) ... 6.562 states/eV/cell
Theoretical density ... 5.43 g/cm3

abc: 4.259 4.259 4.259
angles: 90.00 90.00 90.00
Space group Pm-3m (No. 221)
One atom of each set of equivalent atoms:
Sr1 0.000 0.000 0.000 [1 per cell]
V1 0.000 0.500 0.500 [3 per cell]
C1 0.500 0.500 0.500 [1 per cell]


List of relative energies, unit eV/atom: arrangement 1 3.038; arrangement 2 0.000


Arrangement 1

Crystalline SrWC2 at its relaxed geometry, computed with PBE.

## Properties
N(E_F) ... 2.329 states/eV/cell
Theoretical density ... 8.93 g/cm3

abc: 3.2314 3.2314 18.2355
angles: 90.00 90.00 120.00
Space group R-3m (No. 166, hexagonal axes)
One atom of each set of equivalent atoms:
Sr1 0.0000 0.0000 0.0000 [3 per cell]
W1 0.0000 0.0000 0.5000 [3 per cell]
C1 0.0000 0.0000 0.2296 [6 per cell]


Arrangement 2

Crystalline SrWC2 at its relaxed geometry, computed with PBE.

## Properties
N(E_F) ... 0.000 states/eV/cell
Theoretical density ... 6.83 g/cm3

abc: 5.765 5.765 8.649
angles: 90.00 90.00 90.00
Space group I-42d (No. 122)
One atom of each set of equivalent atoms:
Sr1 0.000 0.000 0.000 [4 per cell]
W1 0.000 0.000 0.500 [4 per cell]
C1 0.140 0.250 0.625 [8 per cell]


Arrangement 3

Crystalline SrWC2 at its relaxed geometry, computed with PBE.

## Properties
N(E_F) ... 18.358 states/eV/cell
Theoretical density ... 9.30 g/cm3

abc: 5.954 5.954 5.954
angles: 90.00 90.00 90.00
Space group Fm-3m (No. 225)
One atom of each set of equivalent atoms:
Sr1 0.000 0.000 0.000 [4 per cell]
W1 0.000 0.000 0.500 [4 per cell]
C1 0.250 0.250 0.250 [8 per cell]


List of relative energies, unit eV/atom: arrangement 1 0.196; arrangement 2 0.000; arrangement 3 1.639


Arrangement 1

Crystalline SrWC3 at its relaxed geometry, computed with PBE.

## Properties
N(E_F) ... 4.035 states/eV/cell
Theoretical density ... 7.02 g/cm3

abc: 4.174 4.174 4.174
angles: 90.00 90.00 90.00
Space group Pm-3m (No. 221)
One atom of each set of equivalent atoms:
Sr1 0.000 0.000 0.000 [1 per cell]
W1 0.500 0.500 0.500 [1 per cell]
C1 0.000 0.500 0.500 [3 per cell]


Arrangement 2

Crystalline SrWC3 at its relaxed geometry, computed with PBE.

## Properties
N(E_F) ... 4.447 states/eV/cell
Theoretical density ... 6.98 g/cm3

abc: 4.182 4.182 4.182
angles: 90.00 90.00 90.00
Space group Pm-3m (No. 221)
One atom of each set of equivalent atoms:
Sr1 0.000 0.000 0.000 [1 per cell]
W1 0.500 0.500 0.500 [1 per cell]
C1 0.000 0.000 0.500 [3 per cell]


List of relative energies, unit eV/atom: arrangement 1 0.000; arrangement 2 3.132


Arrangement 1

Crystalline SrW2C2 at its relaxed geometry, computed with PBE.

## Properties
N(E_F) ... 3.738 states/eV/cell
Theoretical density ... 8.54 g/cm3

abc: 4.082 4.082 11.184
angles: 90.00 90.00 90.00
Space group I4/mmm (No. 139)
One atom of each set of equivalent atoms:
Sr1 0.000 0.000 0.000 [2 per cell]
W1 0.000 0.500 0.250 [4 per cell]
C1 0.000 0.000 0.295 [4 per cell]


Arrangement 2

Crystalline SrW2C2 at its relaxed geometry, computed with PBE.

## Properties
N(E_F) ... 7.658 states/eV/cell
Theoretical density ... 11.54 g/cm3

abc: 6.855 6.855 2.937
angles: 90.00 90.00 90.00
Space group P4/mbm (No. 127)
One atom of each set of equivalent atoms:
Sr1 0.000 0.000 0.000 [2 per cell]
W1 0.130 0.370 0.500 [4 per cell]
C1 0.125 0.625 0.000 [4 per cell]


List of relative energies, unit eV/atom: arrangement 1 0.000; arrangement 2 0.924


Arrangement 1

Crystalline Sr3YC at its relaxed geometry, computed with PBE.

## Properties
N(E_F) ... 6.635 states/eV/cell
Theoretical density ... 2.08 g/cm3

abc: 6.617 6.617 6.617
angles: 90.00 90.00 90.00
Space group Pm-3m (No. 221)
One atom of each set of equivalent atoms:
Sr1 0.000 0.000 0.500 [3 per cell]
Y1 0.000 0.000 0.000 [1 per cell]
C1 0.500 0.500 0.500 [1 per cell]


Arrangement 2

Crystalline Sr3YC at its relaxed geometry, computed with PBE.

## Properties
N(E_F) ... 5.397 states/eV/cell
Theoretical density ... 3.45 g/cm3

abc: 5.595 5.595 5.595
angles: 90.00 90.00 90.00
Space group Pm-3m (No. 221)
One atom of each set of equivalent atoms:
Sr1 0.000 0.000 0.500 [3 per cell]
Y1 0.500 0.500 0.500 [1 per cell]
C1 0.000 0.000 0.000 [1 per cell]


List of relative energies, unit eV/atom: arrangement 1 1.424; arrangement 2 0.000


Arrangement 1

Crystalline SrYC3 at its relaxed geometry, computed with PBE.

## Properties
N(E_F) ... 3.932 states/eV/cell
Theoretical density ... 3.69 g/cm3

abc: 4.572 4.572 4.572
angles: 90.00 90.00 90.00
Space group Pm-3m (No. 221)
One atom of each set of equivalent atoms:
Sr1 0.000 0.000 0.000 [1 per cell]
Y1 0.500 0.500 0.500 [1 per cell]
C1 0.000 0.500 0.500 [3 per cell]


Arrangement 2

Crystalline SrYC3 at its relaxed geometry, computed with PBE.

## Properties
N(E_F) ... 2.668 states/eV/cell
Theoretical density ... 3.98 g/cm3

abc: 4.458 4.458 4.458
angles: 90.00 90.00 90.00
Space group Pm-3m (No. 221)
One atom of each set of equivalent atoms:
Sr1 0.000 0.000 0.000 [1 per cell]
Y1 0.500 0.500 0.500 [1 per cell]
C1 0.000 0.000 0.500 [3 per cell]


List of relative energies, unit eV/atom: arrangement 1 0.000; arrangement 2 0.775


Arrangement 1

Crystalline SrYC2 at its relaxed geometry, computed with PBE.

## Properties
N(E_F) ... 15.439 states/eV/cell
Theoretical density ... 4.00 g/cm3

abc: 6.613 6.613 7.624
angles: 90.00 90.00 90.00
Space group I-42d (No. 122)
One atom of each set of equivalent atoms:
Sr1 0.000 0.000 0.000 [4 per cell]
Y1 0.000 0.000 0.500 [4 per cell]
C1 0.211 0.750 0.625 [8 per cell]


Arrangement 2

Crystalline SrYC2 at its relaxed geometry, computed with PBE.

## Properties
N(E_F) ... 14.001 states/eV/cell
Theoretical density ... 5.01 g/cm3

abc: 6.430 6.430 6.430
angles: 90.00 90.00 90.00
Space group Fm-3m (No. 225)
One atom of each set of equivalent atoms:
Sr1 0.000 0.000 0.000 [4 per cell]
Y1 0.000 0.000 0.500 [4 per cell]
C1 0.250 0.250 0.250 [8 per cell]


List of relative energies, unit eV/atom: arrangement 1 0.000; arrangement 2 0.092


Arrangement 1

Crystalline Sr2ZnC2 at its relaxed geometry, computed with PBE.

## Properties
N(E_F) ... 3.046 states/eV/cell
Theoretical density ... 4.32 g/cm3

abc: 7.475 7.475 3.637
angles: 90.00 90.00 90.00
Space group P4/mbm (No. 127)
One atom of each set of equivalent atoms:
Sr1 0.222 0.278 0.000 [4 per cell]
Zn1 0.000 0.000 0.500 [2 per cell]
C1 0.062 0.562 0.500 [4 per cell]


Arrangement 2

Crystalline Sr2ZnC2 at its relaxed geometry, computed with PBE.

## Properties
N(E_F) ... 8.430 states/eV/cell
Theoretical density ... 3.94 g/cm3

abc: 5.480 5.480 7.435
angles: 90.00 90.00 90.00
Space group I4/mmm (No. 139)
One atom of each set of equivalent atoms:
Sr1 0.000 0.500 0.250 [4 per cell]
Zn1 0.000 0.000 0.000 [2 per cell]
C1 0.000 0.000 0.414 [4 per cell]


List of relative energies, unit eV/atom: arrangement 1 0.000; arrangement 2 0.220


Arrangement 1

Crystalline Sr3ZrC at its relaxed geometry, computed with PBE.

## Properties
N(E_F) ... 6.258 states/eV/cell
Theoretical density ... 3.67 g/cm3

abc: 5.491 5.491 5.491
angles: 90.00 90.00 90.00
Space group Pm-3m (No. 221)
One atom of each set of equivalent atoms:
Sr1 0.000 0.000 0.500 [3 per cell]
Zr1 0.500 0.500 0.500 [1 per cell]
C1 0.000 0.000 0.000 [1 per cell]


Arrangement 2

Crystalline Sr3ZrC at its relaxed geometry, computed with PBE.

## Properties
N(E_F) ... 4.246 states/eV/cell
Theoretical density ... 2.30 g/cm3

abc: 6.421 6.421 6.421
angles: 90.00 90.00 90.00
Space group Pm-3m (No. 221)
One atom of each set of equivalent atoms:
Sr1 0.000 0.000 0.500 [3 per cell]
Zr1 0.000 0.000 0.000 [1 per cell]
C1 0.500 0.500 0.500 [1 per cell]


List of relative energies, unit eV/atom: arrangement 1 0.000; arrangement 2 1.245


Arrangement 1

Crystalline TaC at its relaxed geometry, computed with PBE.

## Properties
N(E_F) ... 5.208 states/eV/cell
Theoretical density ... 12.42 g/cm3

abc: 5.4921 5.4921 2.9638
angles: 90.00 90.00 120.00
Space group P-62m (No. 189)
One atom of each set of equivalent atoms:
Ta1 0.0000 0.3700 0.0000 [3 per cell]
C1 0.0000 0.0000 0.0000 [1 per cell]
C2 0.3333 0.6667 0.5000 [2 per cell]


Arrangement 2

Crystalline TaC at its relaxed geometry, computed with PBE.

## Properties
N(E_F) ... 2.596 states/eV/cell
Theoretical density ... 11.24 g/cm3

abc: 7.232 7.232 4.359
angles: 90.00 90.00 90.00
Space group I4/m (No. 87)
One atom of each set of equivalent atoms:
Ta1 0.129 0.671 0.000 [8 per cell]
C1 0.109 0.692 0.500 [8 per cell]


Arrangement 3

Crystalline TaC at its relaxed geometry, computed with PBE.

## Properties
N(E_F) ... 4.719 states/eV/cell
Theoretical density ... 11.44 g/cm3

abc: 4.413 4.413 4.314
angles: 90.00 90.00 90.00
Space group P4/mmm (No. 123)
One atom of each set of equivalent atoms:
Ta1 0.000 0.000 0.000 [1 per cell]
Ta2 0.000 0.500 0.500 [2 per cell]
C1 0.000 0.000 0.500 [1 per cell]
C2 0.000 0.500 0.000 [2 per cell]


Arrangement 4

Crystalline TaC at its relaxed geometry, computed with PBE.

## Properties
N(E_F) ... 1.766 states/eV/cell
Theoretical density ... 12.12 g/cm3

abc: 3.7124 3.7124 4.4283
angles: 90.00 90.00 120.00
Space group P6_3/mmc (No. 194)
One atom of each set of equivalent atoms:
Ta1 0.3333 0.6667 0.2500 [2 per cell]
C1 0.3333 0.6667 0.7500 [2 per cell]


List of relative energies, unit eV/atom: arrangement 1 0.540; arrangement 2 0.078; arrangement 3 0.593; arrangement 4 0.000


Arrangement 1

Crystalline TaC at its relaxed geometry, computed with PBE.

## Properties
N(E_F) ... 5.559 states/eV/cell
Theoretical density ... 13.27 g/cm3

abc: 10.325 2.976 5.351
angles: 90.00 118.23 90.00
Space group Cm (No. 8)
One atom of each set of equivalent atoms:
Ta1 0.000 0.000 0.000 [2 per cell]
Ta2 0.152 0.000 0.646 [2 per cell]
Ta3 0.325 0.000 0.293 [2 per cell]
C1 0.010 0.500 0.709 [2 per cell]
C2 0.160 0.500 0.320 [2 per cell]
C3 0.292 0.500 0.969 [2 per cell]


Arrangement 2

Crystalline TaC at its relaxed geometry, computed with PBE.

## Properties
N(E_F) ... 5.757 states/eV/cell
Theoretical density ... 12.41 g/cm3

abc: 3.8441 3.8441 12.1050
angles: 90.00 90.00 120.00
Space group R-3m (No. 166, hexagonal axes)
One atom of each set of equivalent atoms:
Ta1 0.0000 0.0000 0.2363 [6 per cell]
C1 0.0000 0.0000 0.0602 [6 per cell]


List of relative energies, unit eV/atom: arrangement 1 0.000; arrangement 2 0.575